Entry from the Alexandria database: Tb6Nd8Pu after structural relaxation (GGA-PBE).

Cell: 9.9648 9.9648 5.9283 Å, 90.00 90.00 120.00°
Closest atoms and distances in Å follow each position.
Sites, in units of the cell vectors:
Tb (0.0939, 0.6185, 0.2479)  8 Nd 3.49-3.78, 4 Tb 3.65-3.79
Tb (0.3815, 0.4754, 0.2479)  8 Nd 3.49-3.78, 4 Tb 3.65-3.79
Tb (0.4754, 0.0939, 0.7521)  8 Nd 3.49-3.78, 4 Tb 3.65-3.79
Tb (0.5246, 0.9061, 0.2479)  8 Nd 3.49-3.78, 4 Tb 3.65-3.79
Tb (0.6185, 0.5246, 0.7521)  8 Nd 3.49-3.78, 4 Tb 3.65-3.79
Tb (0.9061, 0.3815, 0.7521)  8 Nd 3.49-3.78, 4 Tb 3.65-3.79
Nd (0.0518, 0.7858, 0.7398)  1 Pu 2.88
Nd (0.2142, 0.2660, 0.7398)  1 Pu 2.88
Nd (0.2660, 0.0518, 0.2602)  1 Pu 2.88
Nd (0.3333, 0.6667, 0.7324)  3 Nd 3.55, 9 Tb 3.61-3.76
Nd (0.6667, 0.3333, 0.2676)  3 Nd 3.55, 9 Tb 3.61-3.76
Nd (0.7340, 0.9482, 0.7398)  1 Pu 2.88
Nd (0.7858, 0.7340, 0.2602)  1 Pu 2.88
Nd (0.9482, 0.2142, 0.2602)  1 Pu 2.88
Pu (0.0000, 0.0000, 0.0000)  6 Nd 2.88

Summary:
Total magnetic moment: 0.29 μB/atom
SG: P-3 (147)
Formation energy from the elements: 134 meV/atom
N(E_F): 21.95 states/eV/cell
ρ: 7.659 g/cm3